The following is a DFT calculation (PBE+U) of a geometry-optimized Cs2ThWO6 structure.

## Properties
VASP energy, eV/cell: -70.62
Density, g/cm3: 7.806
DOS(E_F), states/eV per cell: 0.0
Total magnetization, μB/cell: 0.00
Calculated volume, Å³ per atom: 16.54

Unit cell a=6.162 b=6.162 c=6.162 alpha=60.00 beta=60.00 gamma=60.00
Positions (direct):
Cs 0.250 0.250 0.250
Cs 0.750 0.750 0.750
Th 0.000 0.000 0.000
W 0.500 0.500 0.500
O 0.272 0.272 0.728
O 0.272 0.728 0.272
O 0.272 0.728 0.728
O 0.728 0.272 0.272
O 0.728 0.272 0.728
O 0.728 0.728 0.272